Run A
{"formula": "CsInH", "functional": "PBE", "state": "optimized geometry", "cell": [[5.034, 0.000, 1.758], [2.210, 4.523, 1.758], [-0.090, -0.056, 8.347]], "species": ["Cs", "In", "In", "H", "Cs", "H"], "frac_coords": [[0.398, 0.398, 0.805], [0.825, 0.825, 0.525], [0.175, 0.175, 0.475], [0.742, 0.742, 0.775], [0.602, 0.602, 0.195], [0.258, 0.258, 0.225]], "n_ef_per_ev_atom": 0.134}

***

Run B
{"formula": "CsInH", "functional": "PBE", "state": "optimized geometry", "cell": [[4.024, 0.000, 0.000], [-0.001, 5.563, 0.000], [0.000, 0.001, 7.911]], "species": ["H", "Cs", "In", "In", "H", "Cs"], "frac_coords": [[0.811, 0.216, 0.084], [0.312, 0.716, 0.072], [0.812, 0.216, 0.328], [0.812, 0.716, 0.465], [0.811, 0.716, 0.709], [0.312, 0.216, 0.721]], "n_ef_per_ev_atom": 0.418}

***

The structures above, arranged from the most stable to the least stable: run A, run B.